VASP calculation (PBE) on a relaxed AcTb2Th crystal.

Cell lengths 3.6060, 3.6060, 38.0088 Å; angles 90.00, 90.00, 120.00 degrees
Space group R-3m (No. 166, hexagonal axes)
One atom of each set of equivalent atoms:
Ac (0.0000, 0.0000, 0.0000)
Tb (0.0000, 0.0000, 0.0938)
Th (0.0000, 0.0000, 0.5000)

The excess energy over the best structure of this formula in the dataset comes out at 114 meV/atom. The value obtained for the size of the total moment is 0.0 μB/cell. The total energy is -5.043 eV per atom. Its formation energy is 14.9 kJ/mol of atoms.